# Mn2MoPt, relaxed, DFT PBE
data_Mn2MoPt
_chemical_formula_sum 'Mn2 Mo1 Pt1'
_cell_length_a 3.105
_cell_length_b 3.105
_cell_length_c 5.883
_cell_angle_alpha 90.00
_cell_angle_beta 90.00
_cell_angle_gamma 90.00
_space_group_name_H-M_alt 'P 4 m m'
_space_group_IT_number 99
loop_
_space_group_symop_operation_xyz
'x,y,z'
'-y,x,z'
'-x,-y,z'
'y,-x,z'
'-x,y,z'
'y,x,z'
'x,-y,z'
'-y,-x,z'
loop_
_atom_site_label
_atom_site_fract_x
_atom_site_fract_y
_atom_site_fract_z
Mn1 0.000 0.000 0.000
Mn2 0.500 0.500 0.239
Mo1 0.000 0.000 0.454
Pt1 0.500 0.500 0.748
# E_form = 0.01 eV per atom
# Fermi-level density of states = 0.749 states/eV per atom
# Mass density = 11.7 g cm⁻³
# Spin magnetization = 4.4 μB/cell